1.
Material: YAgAs
Method: DFT, PBE
State: optimized geometry

Unit cell a=4.7847 b=4.7847 c=4.7847 alpha=60.00 beta=60.00 gamma=60.00
Element x y z (fractional)
Y 0.0000 0.0000 0.0000
Ag 0.2500 0.2500 0.2500
As 0.7500 0.7500 0.7500

Calculated total energy, eV/atom: -5.10

2.
Material: YAg2As
Method: DFT, PBE
State: optimized geometry

Unit cell a=5.2341 b=5.2341 c=5.2341 alpha=53.36 beta=53.36 gamma=53.36
Element x y z (fractional)
Y 0.0000 0.0000 0.0000
Ag 0.2337 0.2337 0.2337
Ag 0.4600 0.4600 0.4600
As 0.7853 0.7853 0.7853

Calculated total energy, eV/atom: -4.63

3.
Material: YAg2As
Method: DFT, PBE
State: optimized geometry

Unit cell a=3.9515 b=3.9567 c=5.8723 alpha=90.00 beta=108.87 gamma=90.00
Element x y z (fractional)
Y 0.0000 0.0000 0.0000
Ag 0.2739 0.0000 0.5398
Ag 0.7031 0.5000 0.3956
As 0.4482 0.5000 0.8915

Calculated total energy, eV/atom: -4.70

4.
Material: YAg3As
Method: DFT, PBE
State: optimized geometry

Unit cell a=4.9544 b=4.9544 c=4.9544 alpha=90.00 beta=90.00 gamma=90.00
Element x y z (fractional)
Y 0.0000 0.0000 0.0000
Ag 0.0000 0.5000 0.5000
Ag 0.5000 0.0000 0.5000
Ag 0.5000 0.5000 0.0000
As 0.5000 0.5000 0.5000

Energy above the most stable polymorph in this dataset, eV per atom: 0.000

5.
Material: YAg2As
Method: DFT, PBE
State: optimized geometry

Unit cell a=3.9585 b=3.9585 c=5.9173 alpha=90.00 beta=90.00 gamma=90.00
Element x y z (fractional)
Y 0.0000 0.0000 0.0000
Ag 0.0000 0.0000 0.4969
Ag 0.5000 0.5000 0.4029
As 0.5000 0.5000 0.9224

Calculated total energy, eV/atom: -4.57

6.
Material: YAg2As
Method: DFT, PBE
State: optimized geometry

Unit cell a=6.2628 b=6.2557 c=4.0262 alpha=71.34 beta=71.14 gamma=37.52
Element x y z (fractional)
Y 0.0000 0.0000 0.0000
Ag 0.0000 0.5000 0.5000
Ag 0.5000 0.0000 0.0000
As 0.5000 0.5000 0.5000

Calculated total energy, eV/atom: -4.55

7.
Material: YAg2As
Method: DFT, PBE
State: optimized geometry

Unit cell a=3.8942 b=3.8942 c=5.7210 alpha=90.00 beta=90.00 gamma=90.00
Element x y z (fractional)
Y 0.0000 0.0000 0.0000
Ag 0.5000 0.5000 0.2566
Ag 0.5000 0.5000 0.7434
As 0.0000 0.0000 0.5000

Calculated total energy, eV/atom: -4.50

8.
Material: YAg3As
Method: DFT, PBE
State: optimized geometry

Unit cell a=5.3688 b=5.3688 c=5.3688 alpha=90.00 beta=90.00 gamma=90.00
Element x y z (fractional)
Y 0.0000 0.0000 0.0000
Ag 0.0000 0.0000 0.5000
Ag 0.0000 0.5000 0.0000
Ag 0.5000 0.0000 0.0000
As 0.5000 0.5000 0.5000

Energy above the most stable polymorph in this dataset, eV per atom: 0.977

9.
Material: YAg4As
Method: DFT, PBE
State: optimized geometry

Unit cell a=5.5793 b=5.5793 c=5.5793 alpha=60.00 beta=60.00 gamma=60.00
Element x y z (fractional)
Y 0.0000 0.0000 0.0000
Ag 0.1252 0.6249 0.6249
Ag 0.6249 0.1252 0.6249
Ag 0.6249 0.6249 0.1252
Ag 0.6249 0.6249 0.6249
As 0.2500 0.2500 0.2500

Calculated total energy, eV/atom: -3.89

10.
Material: YAgAs
Method: DFT, PBE
State: optimized geometry

Unit cell a=5.2349 b=5.2349 c=5.2349 alpha=136.25 beta=136.25 gamma=63.59
Element x y z (fractional)
Y 0.0000 0.0000 0.0000
Ag 0.3262 0.3262 0.0000
As 0.6378 0.6378 0.0000

Calculated total energy, eV/atom: -5.15

11.
Material: YAgAs4
Method: DFT, PBE
State: optimized geometry

Unit cell a=5.6160 b=5.6160 c=5.6160 alpha=60.00 beta=60.00 gamma=60.00
Element x y z (fractional)
Y 0.0000 0.0000 0.0000
Ag 0.7500 0.7500 0.7500
As 0.3769 0.3769 0.3769
As 0.3769 0.3769 0.8692
As 0.3769 0.8692 0.3769
As 0.8692 0.3769 0.3769

Calculated total energy, eV/atom: -4.72

12.
Material: YAg2As
Method: DFT, PBE
State: optimized geometry

Unit cell a=4.0678 b=4.0678 c=5.0999 alpha=90.00 beta=90.00 gamma=90.00
Element x y z (fractional)
Y 0.0000 0.0000 0.0000
Ag 0.0000 0.5000 0.5000
Ag 0.5000 0.0000 0.5000
As 0.5000 0.5000 0.0000

Calculated total energy, eV/atom: -4.72

13.
Material: YAgAs
Method: DFT, PBE
State: optimized geometry

Unit cell a=7.0613 b=7.0613 c=7.9615 alpha=115.15 beta=115.15 gamma=92.20
Element x y z (fractional)
Y 0.0996 0.9004 0.5000
Y 0.1468 0.4458 0.5906
Y 0.4458 0.1468 0.0906
Y 0.9004 0.0996 0.0000
Ag 0.1095 0.7152 0.9941
Ag 0.6580 0.7662 0.0969
Ag 0.7152 0.1095 0.4941
Ag 0.7662 0.6580 0.5969
As 0.1059 0.2895 0.8516
As 0.2895 0.1059 0.3516
As 0.4831 0.8007 0.7391
As 0.8007 0.4831 0.2391

Calculated total energy, eV/atom: -5.28

14.
Material: YAg2As
Method: DFT, PBE
State: optimized geometry

Unit cell a=9.1213 b=9.1213 c=9.1213 alpha=21.52 beta=21.52 gamma=21.52
Element x y z (fractional)
Y 0.0000 0.0000 0.0000
Ag 0.2430 0.2430 0.2430
Ag 0.7570 0.7570 0.7570
As 0.5000 0.5000 0.5000

Calculated total energy, eV/atom: -4.08

15.
Material: YAgAs
Method: DFT, PBE
State: optimized geometry

Unit cell a=4.3724 b=4.3724 c=3.9651 alpha=90.00 beta=90.00 gamma=120.00
Element x y z (fractional)
Y 0.0000 0.0000 0.0000
Ag 0.6667 0.3333 0.4742
As 0.3333 0.6667 0.5309

Calculated total energy, eV/atom: -5.33

16.
Material: ZnAg2As
Method: DFT, PBE
State: optimized geometry

Unit cell a=5.1385 b=5.1385 c=5.1385 alpha=133.54 beta=133.54 gamma=67.80
Element x y z (fractional)
Zn 0.0000 0.0000 0.0000
Ag 0.5000 0.5000 0.0000
Ag 0.7500 0.2500 0.5000
As 0.2500 0.7500 0.5000

Energy above the most stable polymorph in this dataset, eV per atom: 0.015

17.
Material: ZnAg2As
Method: DFT, PBE
State: optimized geometry

Unit cell a=5.2491 b=5.2491 c=5.2491 alpha=49.74 beta=49.74 gamma=49.74
Element x y z (fractional)
Zn 0.0000 0.0000 0.0000
Ag 0.3908 0.3908 0.3908
Ag 0.5956 0.5956 0.5956
As 0.8052 0.8052 0.8052

Energy above the most stable polymorph in this dataset, eV per atom: 0.073

18.
Material: ZnAg2As
Method: DFT, PBE
State: optimized geometry

Unit cell a=5.0300 b=5.0300 c=4.9709 alpha=98.19 beta=98.19 gamma=34.68
Element x y z (fractional)
Zn 0.0000 0.0000 0.0000
Ag 0.4972 0.4972 0.4916
Ag 0.7474 0.7474 0.2291
As 0.2486 0.2486 0.7378

Energy above the most stable polymorph in this dataset, eV per atom: 0.033

19.
Material: ZnAg3As
Method: DFT, PBE
State: optimized geometry

Unit cell a=4.7998 b=4.7998 c=4.7998 alpha=90.00 beta=90.00 gamma=90.00
Element x y z (fractional)
Zn 0.0000 0.0000 0.0000
Ag 0.0000 0.0000 0.5000
Ag 0.0000 0.5000 0.0000
Ag 0.5000 0.0000 0.0000
As 0.5000 0.5000 0.5000

Energy above the most stable polymorph in this dataset, eV per atom: 0.261

20.
Material: Zn2AgAs
Method: DFT, PBE
State: optimized geometry

Unit cell a=4.9427 b=4.9427 c=3.0052 alpha=90.00 beta=90.00 gamma=111.79
Element x y z (fractional)
Zn 0.0000 0.5000 0.0000
Zn 0.5000 0.0000 0.0000
Ag 0.0000 0.0000 0.5000
As 0.5000 0.5000 0.5000

Calculated total energy, eV/atom: -2.42